No. 1
# DyPuTh2P4 (PBE, relaxed)
# formation energy = -1482.5 meV/atom
# Fermi-level density of states = 11.86 states/eV/cell
# total moment = 5.54 μB/f.u.
data_DyPuTh2P4
_chemical_formula_sum 'Dy1 Pu1 Th2 P4'
_space_group_name_H-M_alt 'P 1 2/m 1'
_space_group_IT_number 10
_cell_length_a 7.037
_cell_length_b 4.099
_cell_length_c 7.078
_cell_angle_alpha 90.00
_cell_angle_beta 109.71
_cell_angle_gamma 90.00
loop_
_space_group_symop_operation_xyz
'x,y,z'
'-x,-y,-z'
'-x,y,-z'
'x,-y,z'
loop_
_atom_site_label
_atom_site_type_symbol
_atom_site_fract_x
_atom_site_fract_y
_atom_site_fract_z
Dy1 Dy 0.000 0.000 0.000
Pu1 Pu 0.000 0.500 0.500
Th1 Th 0.500 0.000 0.500
Th2 Th 0.500 0.500 0.000
P1 P 0.241 0.000 0.746
P2 P 0.243 0.500 0.248

No. 2
# DyPu2ThP4 (PBE, relaxed)
# formation energy = -1380.9 meV/atom
# Fermi-level density of states = 18.26 states/eV/cell
# total moment = 10.24 μB/f.u.
data_DyPu2ThP4
_chemical_formula_sum 'Dy1 Pu2 Th1 P4'
_space_group_name_H-M_alt 'P 1 2/m 1'
_space_group_IT_number 10
_cell_length_a 6.960
_cell_length_b 4.061
_cell_length_c 7.018
_cell_angle_alpha 90.00
_cell_angle_beta 109.67
_cell_angle_gamma 90.00
loop_
_space_group_symop_operation_xyz
'x,y,z'
'-x,-y,-z'
'-x,y,-z'
'x,-y,z'
loop_
_atom_site_label
_atom_site_type_symbol
_atom_site_fract_x
_atom_site_fract_y
_atom_site_fract_z
Dy1 Dy 0.000 0.000 0.000
Pu1 Pu 0.500 0.000 0.500
Pu2 Pu 0.500 0.500 0.000
Th1 Th 0.000 0.500 0.500
P1 P 0.257 0.500 0.249
P2 P 0.258 0.000 0.757

No. 3
# Dy3PuTh2P6 (PBE, relaxed)
# formation energy = -1525.8 meV/atom
# Fermi-level density of states = 27.41 states/eV/cell
# total moment = 5.40 μB/f.u.
data_Dy3PuTh2P6
_chemical_formula_sum 'Dy6 Pu2 Th4 P12'
_space_group_name_H-M_alt 'C 1 2/m 1'
_space_group_IT_number 12
_cell_length_a 17.675
_cell_length_b 4.068
_cell_length_c 8.095
_cell_angle_alpha 90.00
_cell_angle_beta 103.11
_cell_angle_gamma 90.00
loop_
_space_group_symop_operation_xyz
'x,y,z'
'-x,-y,-z'
'-x,y,-z'
'x,-y,z'
'x+1/2,y+1/2,z'
'-x+1/2,-y+1/2,-z'
'-x+1/2,y+1/2,-z'
'x+1/2,-y+1/2,z'
loop_
_atom_site_label
_atom_site_type_symbol
_atom_site_fract_x
_atom_site_fract_y
_atom_site_fract_z
Dy1 Dy 0.000 0.000 0.000
Dy2 Dy 0.167 0.500 0.334
Pu1 Pu 0.000 0.000 0.500
Th1 Th 0.165 0.500 0.830
P1 P 0.002 0.500 0.252
P2 P 0.166 0.000 0.087
P3 P 0.167 0.000 0.578

No. 4
# Dy2TmPuP4 (PBE, relaxed)
# formation energy = -1486.8 meV/atom
# Fermi-level density of states = 11.37 states/eV/cell
# total moment = 4.88 μB/f.u.
data_Dy2TmPuP4
_chemical_formula_sum 'Dy2 Tm1 Pu1 P4'
_space_group_name_H-M_alt 'P 1 2/m 1'
_space_group_IT_number 10
_cell_length_a 6.890
_cell_length_b 3.994
_cell_length_c 6.897
_cell_angle_alpha 90.00
_cell_angle_beta 109.49
_cell_angle_gamma 90.00
loop_
_space_group_symop_operation_xyz
'x,y,z'
'-x,-y,-z'
'-x,y,-z'
'x,-y,z'
loop_
_atom_site_label
_atom_site_type_symbol
_atom_site_fract_x
_atom_site_fract_y
_atom_site_fract_z
Dy1 Dy 0.000 0.000 0.000
Dy2 Dy 0.500 0.500 0.000
Tm1 Tm 0.000 0.500 0.500
Pu1 Pu 0.500 0.000 0.500
P1 P 0.249 0.000 0.746
P2 P 0.252 0.500 0.255

No. 5
# Dy3Pu2UP6 (PBE, relaxed)
# formation energy = -1341.9 meV/atom
# Fermi-level density of states = 53.59 states/eV/cell
# total moment = 8.37 μB/f.u.
data_Dy3Pu2UP6
_chemical_formula_sum 'Dy6 Pu4 U2 P12'
_space_group_name_H-M_alt 'C 1 2/m 1'
_space_group_IT_number 12
_cell_length_a 17.339
_cell_length_b 3.983
_cell_length_c 7.966
_cell_angle_alpha 90.00
_cell_angle_beta 102.88
_cell_angle_gamma 90.00
loop_
_space_group_symop_operation_xyz
'x,y,z'
'-x,-y,-z'
'-x,y,-z'
'x,-y,z'
'x+1/2,y+1/2,z'
'-x+1/2,-y+1/2,-z'
'-x+1/2,y+1/2,-z'
'x+1/2,-y+1/2,z'
loop_
_atom_site_label
_atom_site_type_symbol
_atom_site_fract_x
_atom_site_fract_y
_atom_site_fract_z
Dy1 Dy 0.000 0.000 0.000
Dy2 Dy 0.167 0.500 0.332
Pu1 Pu 0.167 0.500 0.834
U1 U 0.000 0.000 0.500
P1 P 0.000 0.500 0.256
P2 P 0.164 0.000 0.583
P3 P 0.168 0.000 0.079

No. 6
# DyPuU2P4 (PBE, relaxed)
# formation energy = -1169.4 meV/atom
# Fermi-level density of states = 20.81 states/eV/cell
# total moment = 1.38 μB/f.u.
data_DyPuU2P4
_chemical_formula_sum 'Dy1 Pu1 U2 P4'
_space_group_name_H-M_alt 'P 1 2/m 1'
_space_group_IT_number 10
_cell_length_a 6.811
_cell_length_b 3.942
_cell_length_c 6.939
_cell_angle_alpha 90.00
_cell_angle_beta 109.21
_cell_angle_gamma 90.00
loop_
_space_group_symop_operation_xyz
'x,y,z'
'-x,-y,-z'
'-x,y,-z'
'x,-y,z'
loop_
_atom_site_label
_atom_site_type_symbol
_atom_site_fract_x
_atom_site_fract_y
_atom_site_fract_z
Dy1 Dy 0.000 0.000 0.000
Pu1 Pu 0.500 0.500 0.000
U1 U 0.000 0.500 0.500
U2 U 0.500 0.000 0.500
P1 P 0.249 0.000 0.745
P2 P 0.252 0.500 0.256